Entry 1:
Compound: CaAlSn2Au5
Source: the Alexandria database
Functional: GGA-PBE
Structure: optimized geometry

Cell lengths 8.352, 8.352, 8.352 Å; angles 145.93, 138.76, 54.53 degrees
Element x y z (fractional)
1 Ca 0.000 0.000 0.000
2 Al 0.500 0.500 0.000
3 Sn 0.307 0.807 0.500
4 Sn 0.693 0.193 0.500
5 Au 0.099 0.361 0.738
6 Au 0.377 0.639 0.738
7 Au 0.500 0.000 0.500
8 Au 0.623 0.361 0.262
9 Au 0.901 0.639 0.262

Values from the calculation:
E_tot   -32.67 eV for the cell shown
Total moment   0.0000 μB/atom

---

Entry 2:
Compound: Ca3Al2SnAu9
Source: the Alexandria database
Functional: GGA-PBE
Structure: optimized geometry

Cell lengths 7.999, 7.999, 6.677 Å; angles 90.00, 90.00, 120.00 degrees
Element x y z (fractional)
1 Ca 0.000 0.000 0.000
2 Ca 0.333 0.667 0.655
3 Ca 0.667 0.333 0.345
4 Al 0.333 0.667 0.145
5 Al 0.667 0.333 0.855
6 Sn 0.000 0.000 0.500
7 Au 0.000 0.500 0.000
8 Au 0.173 0.345 0.312
9 Au 0.173 0.827 0.312
10 Au 0.345 0.173 0.688
11 Au 0.500 0.000 0.000
12 Au 0.500 0.500 0.000
13 Au 0.655 0.827 0.312
14 Au 0.827 0.173 0.688
15 Au 0.827 0.655 0.688

Values from the calculation:
E_tot   -52.42 eV for the cell shown
Total moment   0.0000 μB/atom

---

Entry 3:
Compound: Ca3AlSn2Au6
Source: the Alexandria database
Functional: GGA-PBE
Structure: optimized geometry

Cell lengths 6.058, 6.058, 8.675 Å; angles 90.00, 90.00, 120.00 degrees
Element x y z (fractional)
1 Ca 0.000 0.000 0.000
2 Ca 0.333 0.667 0.608
3 Ca 0.667 0.333 0.392
4 Al 0.000 0.000 0.500
5 Sn 0.333 0.667 0.006
6 Sn 0.667 0.333 0.994
7 Au 0.173 0.346 0.288
8 Au 0.173 0.827 0.288
9 Au 0.346 0.173 0.712
10 Au 0.654 0.827 0.288
11 Au 0.827 0.173 0.712
12 Au 0.827 0.654 0.712

Values from the calculation:
E_tot   -43.98 eV for the cell shown
Total moment   0.0000 μB/atom